An optimized crystal structure of PuCo3H. Source: Alexandria via LeMat-Bulk, functional PBE.

a b c (Å): 3.8283 3.8283 3.8283
angles (deg): 90.00 90.00 90.00
Space group Pm-3m (No. 221)
Asymmetric unit:
1 Pu 0.0000 0.0000 0.0000 [1 per cell]
2 Co 0.0000 0.5000 0.5000 [3 per cell]
3 H 0.5000 0.5000 0.5000 [1 per cell]

Summary:
Total DFT energy (no corrections) (eV/atom): -7.78
Magnetic moment (μB per atom): 0.48

An optimized crystal structure of PuCoH4. Source: Alexandria via LeMat-Bulk, functional PBE.

a b c (Å): 3.6468 11.5198 4.7832
angles (deg): 90.00 90.00 90.00
Space group Cmcm (No. 63)
Asymmetric unit:
1 Pu 0.0000 0.1312 0.2500 [4 per cell]
2 Co 0.0000 0.4039 0.2500 [4 per cell]
3 H 0.0000 0.0885 0.7500 [4 per cell]
4 H 0.0000 0.3064 0.0101 [8 per cell]
5 H 0.0000 0.5000 0.0000 [4 per cell]

Summary:
Total DFT energy (no corrections) (eV/atom): -6.10
Magnetic moment (μB per atom): 1.01
ΔE to the lowest computed polymorph (meV/atom): 0

An optimized crystal structure of Pu2Co3H12Rh. Source: Alexandria via LeMat-Bulk, functional PBE.

a b c (Å): 5.7266 5.7266 14.6777
angles (deg): 90.00 90.00 120.00
Space group R-3m (No. 166, hexagonal axes)
Asymmetric unit:
1 Pu 0.0000 0.0000 0.1147 [6 per cell]
2 Co 0.0000 0.5000 0.0000 [9 per cell]
3 H 0.0208 0.5104 0.1110 [18 per cell]
4 H 0.0307 0.5154 0.3501 [18 per cell]
5 Rh 0.0000 0.0000 0.5000 [3 per cell]

Summary:
Total DFT energy (no corrections) (eV/atom): -5.58
Magnetic moment (μB per atom): 0.73

An optimized crystal structure of Pu2Co3H12Ru. Source: Alexandria via LeMat-Bulk, functional PBE.

a b c (Å): 5.7175 5.7175 14.5745
angles (deg): 90.00 90.00 120.00
Space group R-3m (No. 166, hexagonal axes)
Asymmetric unit:
1 Pu 0.0000 0.0000 0.1146 [6 per cell]
2 Co 0.0000 0.5000 0.0000 [9 per cell]
3 H 0.0153 0.5076 0.1127 [18 per cell]
4 H 0.0241 0.5120 0.3457 [18 per cell]
5 Ru 0.0000 0.0000 0.5000 [3 per cell]

Summary:
Total DFT energy (no corrections) (eV/atom): -5.68
Magnetic moment (μB per atom): 0.76

An optimized crystal structure of PuCo2SnH8. Source: Alexandria via LeMat-Bulk, functional PBE.

a b c (Å): 4.2221 4.2221 6.3652
angles (deg): 90.00 90.00 120.00
Space group P-3 (No. 147)
Asymmetric unit:
1 Pu 0.0000 0.0000 0.0000 [1 per cell]
2 Co 0.3333 0.6667 0.7065 [2 per cell]
3 Sn 0.0000 0.0000 0.5000 [1 per cell]
4 H 0.0603 0.5316 0.2177 [6 per cell]
5 H 0.3333 0.6667 0.9443 [2 per cell]

Summary:
Total DFT energy (no corrections) (eV/atom): -4.90
Magnetic moment (μB per atom): 0.48

An optimized crystal structure of Sr2PuCo3H12. Source: Alexandria via LeMat-Bulk, functional PBE.

a b c (Å): 6.2870 6.2870 14.6822
angles (deg): 90.00 90.00 120.00
Space group R-3m (No. 166, hexagonal axes)
Asymmetric unit:
1 Sr 0.0000 0.0000 0.1113 [6 per cell]
2 Pu 0.0000 0.0000 0.5000 [3 per cell]
3 Co 0.0000 0.5000 0.0000 [9 per cell]
4 H 0.0400 0.5200 0.8916 [18 per cell]
5 H 0.0783 0.5392 0.3104 [18 per cell]

Summary:
Total DFT energy (no corrections) (eV/atom): -4.67
Magnetic moment (μB per atom): 0.43

An optimized crystal structure of PuZnCoH6. Source: Alexandria via LeMat-Bulk, functional PBE.

a b c (Å): 4.3911 4.3911 4.3134
angles (deg): 90.00 90.00 120.00
Space group P-6m2 (No. 187)
Asymmetric unit:
1 Pu 0.0000 0.0000 0.0000 [1 per cell]
2 Zn 0.3333 0.6667 0.5000 [1 per cell]
3 Co 0.6667 0.3333 0.5000 [1 per cell]
4 H 0.5174 0.0349 0.2319 [6 per cell]

Summary:
Total DFT energy (no corrections) (eV/atom): -4.92
Magnetic moment (μB per atom): 0.64

An optimized crystal structure of Pu2ZrCo3H12. Source: Alexandria via LeMat-Bulk, functional PBE.

a b c (Å): 6.0334 6.0334 13.9680
angles (deg): 90.00 90.00 120.00
Space group R-3m (No. 166, hexagonal axes)
Asymmetric unit:
1 Pu 0.0000 0.0000 0.1081 [6 per cell]
2 Zr 0.0000 0.0000 0.5000 [3 per cell]
3 Co 0.0000 0.5000 0.0000 [9 per cell]
4 H 0.0351 0.5175 0.8857 [18 per cell]
5 H 0.0550 0.5275 0.3149 [18 per cell]

Summary:
Total DFT energy (no corrections) (eV/atom): -5.70
Magnetic moment (μB per atom): 0.77

An optimized crystal structure of RbCoH2. Source: Alexandria via LeMat-Bulk, functional PBE.

a b c (Å): 5.5185 5.5185 7.8025
angles (deg): 90.00 90.00 90.00
Space group I-42d (No. 122)
Asymmetric unit:
1 Rb 0.0000 0.0000 0.0000 [4 per cell]
2 Co 0.0000 0.0000 0.5000 [4 per cell]
3 H 0.0023 0.2500 0.6250 [8 per cell]

Summary:
Total DFT energy (no corrections) (eV/atom): -3.47
Magnetic moment (μB per atom): 0.50
ΔE to the lowest computed polymorph (meV/atom): 0

An optimized crystal structure of Rb2Co2H. Source: Alexandria via LeMat-Bulk, functional PBE.

a b c (Å): 6.5054 6.5054 6.1327
angles (deg): 90.00 90.00 90.00
Space group I4/mmm (No. 139)
Asymmetric unit:
1 Rb 0.0000 0.5000 0.2500 [4 per cell]
2 Co 0.0000 0.0000 0.1794 [4 per cell]
3 H 0.0000 0.0000 0.5000 [2 per cell]

Summary:
Total DFT energy (no corrections) (eV/atom): -2.94
Magnetic moment (μB per atom): 0.64
ΔE to the lowest computed polymorph (meV/atom): 0

An optimized crystal structure of Rb3CoH. Source: Alexandria via LeMat-Bulk, functional PBE.

a b c (Å): 6.3447 6.3447 6.3447
angles (deg): 90.00 90.00 90.00
Space group Pm-3m (No. 221)
Asymmetric unit:
1 Rb 0.0000 0.0000 0.5000 [3 per cell]
2 Co 0.0000 0.0000 0.0000 [1 per cell]
3 H 0.5000 0.5000 0.5000 [1 per cell]

Summary:
Total DFT energy (no corrections) (eV/atom): -1.83
Magnetic moment (μB per atom): 0.20

An optimized crystal structure of RbCo2H. Source: Alexandria via LeMat-Bulk, functional PBE.

a b c (Å): 7.8689 7.8689 7.8689
angles (deg): 90.00 90.00 90.00
Space group Fd-3m (No. 227, origin choice 2)
Asymmetric unit:
1 Rb 0.1250 0.1250 0.1250 [8 per cell]
2 Co 0.0000 0.0000 0.5000 [16 per cell]
3 H 0.1250 0.1250 0.6250 [8 per cell]

Summary:
Total DFT energy (no corrections) (eV/atom): -3.91
Magnetic moment (μB per atom): 0.56
ΔE to the lowest computed polymorph (meV/atom): 0

> The highest magnetic moment belongs to which entry?

PuCoH4

> Which formula does entry 5 have?

PuCo2SnH8

Copy entry 3 word for word.
An optimized crystal structure of Pu2Co3H12Rh. Source: Alexandria via LeMat-Bulk, functional PBE.

a b c (Å): 5.7266 5.7266 14.6777
angles (deg): 90.00 90.00 120.00
Space group R-3m (No. 166, hexagonal axes)
Asymmetric unit:
1 Pu 0.0000 0.0000 0.1147 [6 per cell]
2 Co 0.0000 0.5000 0.0000 [9 per cell]
3 H 0.0208 0.5104 0.1110 [18 per cell]
4 H 0.0307 0.5154 0.3501 [18 per cell]
5 Rh 0.0000 0.0000 0.5000 [3 per cell]

Summary:
Total DFT energy (no corrections) (eV/atom): -5.58
Magnetic moment (μB per atom): 0.73